## Pm2Er3Sc2 (GGA-PBE)

Data for a relaxed Pm2Er3Sc2 crystal.

Lattice parameters (Å, degrees): 5.186 23.329 3.462 90.00 90.00 90.00
Space group Cmmm (No. 65)
One atom of each set of equivalent atoms:
Pm 0.000 0.076 0.000 [4 per cell]
Er 0.000 0.343 0.500 [4 per cell]
Er 0.000 0.500 0.500 [2 per cell]
Sc 0.000 0.217 0.000 [4 per cell]

## Properties
DOS(E_F) (states/eV per cell): 21.7
Energy of formation from the pure elements (kcal/mol of atoms): 0.76
Electronic total energy (eV per atom): -5.089

## PmEr2Sc5 (GGA-PBE)

Data for a relaxed PmEr2Sc5 crystal.

Lattice parameters (Å, degrees): 6.797 6.797 9.332 90.00 90.00 90.00
Space group I4/mmm (No. 139)
One atom of each set of equivalent atoms:
Pm 0.000 0.000 0.000 [2 per cell]
Er 0.000 0.500 0.000 [4 per cell]
Sc 0.000 0.000 0.500 [2 per cell]
Sc 0.250 0.250 0.250 [8 per cell]

## Properties
DOS(E_F) (states/eV per cell): 28.4
Energy of formation from the pure elements (kcal/mol of atoms): 1.35
Electronic total energy (eV per atom): -5.633

## Pm14ErSc (GGA-PBE)

Data for a relaxed Pm14ErSc crystal.

Lattice parameters (Å, degrees): 7.244 7.244 10.208 90.00 90.00 90.00
Space group P4/mmm (No. 123)
One atom of each set of equivalent atoms:
Pm 0.000 0.000 0.000 [1 per cell]
Pm 0.000 0.500 0.000 [2 per cell]
Pm 0.000 0.500 0.500 [2 per cell]
Pm 0.248 0.248 0.254 [8 per cell]
Pm 0.500 0.500 0.000 [1 per cell]
Er 0.500 0.500 0.500 [1 per cell]
Sc 0.000 0.000 0.500 [1 per cell]

## Properties
DOS(E_F) (states/eV per cell): 24.0
Energy of formation from the pure elements (kcal/mol of atoms): 0.53
Electronic total energy (eV per atom): -4.815

## Pm12Er2Sc5 (GGA-PBE)

Data for a relaxed Pm12Er2Sc5 crystal.

Lattice parameters (Å, degrees): 13.749 10.802 8.310 90.00 99.06 90.00
Space group C2/m (No. 12)
One atom of each set of equivalent atoms:
Pm 0.080 0.000 0.221 [4 per cell]
Pm 0.110 0.235 0.892 [8 per cell]
Pm 0.135 0.500 0.626 [4 per cell]
Pm 0.183 0.297 0.304 [8 per cell]
Er 0.000 0.223 0.500 [4 per cell]
Sc 0.000 0.500 0.000 [2 per cell]
Sc 0.143 0.000 0.631 [4 per cell]
Sc 0.235 0.500 0.016 [4 per cell]

## Properties
DOS(E_F) (states/eV per cell): 58.2
Energy of formation from the pure elements (kcal/mol of atoms): 3.34
Electronic total energy (eV per atom): -5.002

## PmEr5Sc3 (GGA-PBE)

Data for a relaxed PmEr5Sc3 crystal.

Lattice parameters (Å, degrees): 13.549 10.667 10.319 90.00 125.45 90.00
Space group C2/m (No. 12)
One atom of each set of equivalent atoms:
Pm 0.236 0.000 0.328 [4 per cell]
Er 0.000 0.280 0.000 [4 per cell]
Er 0.101 0.265 0.737 [8 per cell]
Er 0.152 0.000 0.593 [4 per cell]
Er 0.198 0.500 0.012 [4 per cell]
Sc 0.000 0.000 0.000 [2 per cell]
Sc 0.000 0.500 0.500 [2 per cell]
Sc 0.027 0.000 0.764 [4 per cell]
Sc 0.073 0.500 0.260 [4 per cell]

## Properties
DOS(E_F) (states/eV per cell): 53.1
Energy of formation from the pure elements (kcal/mol of atoms): 13.35
Electronic total energy (eV per atom): -4.594

## Pm4Er10Sc (GGA-PBE)

Data for a relaxed Pm4Er10Sc crystal.

Lattice parameters (Å, degrees): 11.236 11.236 7.713 90.00 90.00 90.00
Space group I4/mmm (No. 139)
One atom of each set of equivalent atoms:
Pm 0.230 0.230 0.000 [8 per cell]
Er 0.000 0.208 0.288 [16 per cell]
Er 0.000 0.500 0.250 [4 per cell]
Sc 0.000 0.000 0.000 [2 per cell]

## Properties
DOS(E_F) (states/eV per cell): 46.3
Energy of formation from the pure elements (kcal/mol of atoms): 6.10
Electronic total energy (eV per atom): -4.466